# 1
Below is a geometry-optimized CaSb2Pt structure, with properties calculated at the PBE level.

Unit cell a=3.6770 b=5.3079 c=10.4334 alpha=90.00 beta=90.00 gamma=90.00
Closest atoms and distances in Å follow each position.
Space group Immm (No. 71)
Inequivalent atoms, fractional coordinates:
Ca1 0.0000 0.0000 0.0000 [2 per cell]  4 Pt 3.23, 4 Sb 3.34
Sb1 0.0000 0.5000 0.1942 [4 per cell]  2 Pt 2.74
Pt1 0.0000 0.0000 0.5000 [2 per cell]  4 Sb 2.74

Results
The calculation puts the formation energy (no corrections) at -0.511 eV per atom. The magnetization comes out at 0.000 μB/f.u. For the total energy, the calculation gives -4.583 eV/atom. Its crystal system is orthorhombic.



# 2
Below is a geometry-optimized RbTbCuI6 structure, with properties calculated at the PBE level.

Unit cell a=7.4306 b=7.4323 c=8.1175 alpha=96.89 beta=96.96 gamma=108.39
Closest atoms and distances in Å follow each position.
Space group P1 (No. 1)
Inequivalent atoms, fractional coordinates:
Rb1 0.0000 0.0000 0.0000 [1 per cell]  8 I 3.85-4.31
Tb1 0.3743 0.6260 0.5003 [1 per cell]  6 I 2.95-3.11
Cu1 0.7317 0.2686 0.4998 [1 per cell]  4 I 2.63-2.65
I1 0.0657 0.5798 0.2165 [1 per cell]  1 Tb 2.95
I2 0.0838 0.3174 0.6512 [1 per cell]  1 Cu 2.65
I3 0.4212 0.9336 0.7849 [1 per cell]  1 Tb 2.95
I4 0.4831 0.3251 0.2692 [1 per cell]  1 Cu 2.63
I5 0.6759 0.5167 0.7307 [1 per cell]  1 Cu 2.63
I6 0.6818 0.9166 0.3485 [1 per cell]  1 Cu 2.65

Results
The calculation puts the formation energy (no corrections) at -0.945 eV per atom. The magnetization comes out at 0.835 μB/f.u. For the total energy, the calculation gives -3.056 eV/atom. Its crystal system is triclinic.



# 3
Below is a geometry-optimized Be2CuB2 structure, with properties calculated at the PBE level.

Unit cell a=5.1655 b=5.1655 c=3.0615 alpha=90.00 beta=90.00 gamma=90.00
Closest atoms and distances in Å follow each position.
Space group P4/mbm (No. 127)
Inequivalent atoms, fractional coordinates:
Be1 0.1608 0.3392 0.0000 [4 per cell]  6 B 2.10-2.24, 1 Be 2.35
Cu1 0.0000 0.0000 0.5000 [2 per cell]  4 B 2.08
B1 0.1145 0.6145 0.5000 [4 per cell]  1 B 1.67

Results
The magnetization comes out at 0.000 μB/f.u. For the total energy, the calculation gives -4.765 eV/atom. Its formation energy is 215 meV per atom. Its crystal system is tetragonal.



# 4
Below is a geometry-optimized Tb3Nd2HoSb6 structure, with properties calculated at the PBE level.

Unit cell a=19.3392 b=4.4393 c=8.8740 alpha=90.00 beta=103.24 gamma=90.00
Closest atoms and distances in Å follow each position.
Space group C2/m (No. 12)
Inequivalent atoms, fractional coordinates:
Tb1 0.0000 0.0000 0.0000 [2 per cell]  6 Sb 3.11-3.15
Tb2 0.1679 0.5000 0.3340 [4 per cell]  6 Sb 3.10-3.14
Nd1 0.1658 0.5000 0.8324 [4 per cell]  6 Sb 3.17-3.18
Ho1 0.0000 0.0000 0.5000 [2 per cell]  6 Sb 3.12-3.13
Sb1 0.0025 0.5000 0.2530 [4 per cell]  3 Tb 3.11-3.15, 2 Ho 3.13, 1 Nd 3.17
Sb2 0.1651 0.0000 0.0877 [4 per cell]  3 Tb 3.11, 3 Nd 3.17-3.18
Sb3 0.1655 0.0000 0.5772 [4 per cell]  3 Tb 3.10-3.14, 1 Ho 3.12, 2 Nd 3.17

Results
The calculation puts the formation energy (no corrections) at -1.152 eV per atom. The magnetization comes out at 0.000 μB/f.u. For the total energy, the calculation gives -5.547 eV/atom. Its crystal system is monoclinic.